## NaLaReTc (PBE)

Data for an optimized crystal structure of NaLaReTc.

Unit cell a=6.765 b=6.765 c=6.765 alpha=90.00 beta=90.00 gamma=90.00
Space group F-43m (No. 216)
Inequivalent atoms, fractional coordinates:
Na (0.000, 0.000, 0.000)
La (0.000, 0.000, 0.500)
Re (0.250, 0.250, 0.250)
Tc (0.250, 0.250, 0.750)

Polymorph energy (0 for the lowest one) in eV per atom: 0.468
Spin magnetization in μB per cell: 6.8
E_tot in eV per formula unit: -24.037